This record from Alexandria via LeMat-Bulk describes a relaxed RhW2 crystal. The functional is PBE.

## Properties
Electronic total energy, eV per atom: -9.902
Relative energy among the computed polymorphs, meV/atom: 1224.8
DFT formation energy, eV per atom: 1.18

a b c (Å): 6.050 6.050 6.050
angles (deg): 90.00 90.00 90.00
Element x y z (fractional)
Rh 0.000 0.000 0.000
Rh 0.000 0.500 0.500
Rh 0.500 0.000 0.500
Rh 0.500 0.500 0.000
W 0.120 0.620 0.880
W 0.120 0.880 0.380
W 0.380 0.120 0.880
W 0.380 0.380 0.380
W 0.620 0.620 0.620
W 0.620 0.880 0.120
W 0.880 0.120 0.620
W 0.880 0.380 0.120

=====

This record from Alexandria via LeMat-Bulk describes a relaxed RhW2 crystal. The functional is PBE.

## Properties
Electronic total energy, eV per atom: -10.720
Relative energy among the computed polymorphs, meV/atom: 406.9
DFT formation energy, eV per atom: 0.37

a b c (Å): 5.190 5.190 5.190
angles (deg): 60.00 60.00 60.00
Element x y z (fractional)
Rh 0.750 0.750 0.750
Rh 0.500 0.500 0.500
W 0.125 0.625 0.125
W 0.125 0.125 0.625
W 0.625 0.125 0.125
W 0.125 0.125 0.125

=====

This record from Alexandria via LeMat-Bulk describes a relaxed RhW crystal. The functional is PBE.

## Properties
Electronic total energy, eV per atom: -10.144
DFT formation energy, eV per atom: 0.01

a b c (Å): 9.260 9.260 9.260
angles (deg): 17.33 17.33 17.33
Element x y z (fractional)
Rh 0.623 0.623 0.623
Rh 0.377 0.377 0.377
W 0.121 0.121 0.121
W 0.879 0.879 0.879

=====

This record from Alexandria via LeMat-Bulk describes a relaxed Rh5W crystal. The functional is PBE.

## Properties
Electronic total energy, eV per atom: -8.348
Relative energy among the computed polymorphs, meV/atom: 127.5
DFT formation energy, eV per atom: -0.06

a b c (Å): 2.749 2.749 11.531
angles (deg): 90.00 90.00 90.00
Element x y z (fractional)
Rh 0.000 0.000 0.836
Rh 0.000 0.000 0.164
Rh 0.500 0.500 0.662
Rh 0.500 0.500 0.338
Rh 0.000 0.000 0.500
W 0.500 0.500 0.000

=====

This record from Alexandria via LeMat-Bulk describes a relaxed RhW crystal. The functional is PBE.

## Properties
Electronic total energy, eV per atom: -9.687
DFT formation energy, eV per atom: 0.46

a b c (Å): 4.436 4.436 7.646
angles (deg): 90.00 90.00 120.00
Element x y z (fractional)
Rh 0.000 0.000 0.250
Rh 0.000 0.000 0.750
Rh 0.333 0.667 0.750
Rh 0.667 0.333 0.250
W 0.333 0.667 0.083
W 0.667 0.333 0.583
W 0.667 0.333 0.917
W 0.333 0.667 0.417

=====

This record from Alexandria via LeMat-Bulk describes a relaxed Rh5W crystal. The functional is PBE.

## Properties
Electronic total energy, eV per atom: -8.010
Relative energy among the computed polymorphs, meV/atom: 466.3
DFT formation energy, eV per atom: 0.28

a b c (Å): 5.035 5.035 5.035
angles (deg): 60.00 60.00 60.00
Element x y z (fractional)
Rh 0.874 0.375 0.375
Rh 0.750 0.750 0.750
Rh 0.375 0.874 0.375
Rh 0.375 0.375 0.375
Rh 0.375 0.375 0.874
W 0.000 0.000 0.000

=====

This record from Alexandria via LeMat-Bulk describes a relaxed RhW3 crystal. The functional is PBE.

## Properties
Electronic total energy, eV per atom: -11.327
DFT formation energy, eV per atom: 0.23

a b c (Å): 9.604 9.604 9.604
angles (deg): 16.67 16.67 16.67
Element x y z (fractional)
Rh 0.000 0.000 0.000
W 0.746 0.746 0.746
W 0.500 0.500 0.500
W 0.254 0.254 0.254

=====

This record from Alexandria via LeMat-Bulk describes a relaxed RhW crystal. The functional is PBE.

## Properties
Electronic total energy, eV per atom: -10.277
DFT formation energy, eV per atom: -0.12

a b c (Å): 9.641 4.462 5.591
angles (deg): 90.00 90.00 90.00
Element x y z (fractional)
Rh 0.081 0.250 0.243
Rh 0.581 0.250 0.257
Rh 0.919 0.750 0.757
Rh 0.419 0.750 0.743
Rh 0.833 0.250 0.496
Rh 0.333 0.250 0.004
Rh 0.167 0.750 0.504
Rh 0.667 0.750 0.996
W 0.080 0.250 0.749
W 0.580 0.250 0.751
W 0.920 0.750 0.251
W 0.420 0.750 0.249
W 0.833 0.250 0.993
W 0.333 0.250 0.507
W 0.167 0.750 0.007
W 0.667 0.750 0.493

=====

This record from Alexandria via LeMat-Bulk describes a relaxed RhW crystal. The functional is PBE.

## Properties
Electronic total energy, eV per atom: -9.776
DFT formation energy, eV per atom: 0.38

a b c (Å): 3.136 3.136 3.136
angles (deg): 90.00 90.00 90.00
Element x y z (fractional)
Rh 0.000 0.000 0.000
W 0.500 0.500 0.500

=====

This record from Alexandria via LeMat-Bulk describes a relaxed RhW3 crystal. The functional is PBE.

## Properties
Electronic total energy, eV per atom: -8.520
DFT formation energy, eV per atom: 3.03

a b c (Å): 4.745 4.745 4.745
angles (deg): 90.00 90.00 90.00
Element x y z (fractional)
Rh 0.000 0.000 0.000
W 0.000 0.000 0.500
W 0.000 0.500 0.000
W 0.500 0.000 0.000

=====

This record from Alexandria via LeMat-Bulk describes a relaxed RhW crystal. The functional is PBE.

## Properties
Electronic total energy, eV per atom: -10.207
DFT formation energy, eV per atom: -0.05

a b c (Å): 2.789 13.686 4.789
angles (deg): 90.00 90.00 90.00
Element x y z (fractional)
Rh 0.500 0.822 0.808
Rh 0.500 0.178 0.808
Rh 0.500 0.322 0.308
Rh 0.500 0.678 0.308
Rh 0.500 0.000 0.124
Rh 0.500 0.500 0.624
W 0.000 0.347 0.810
W 0.000 0.653 0.810
W 0.000 0.847 0.310
W 0.000 0.153 0.310
W 0.000 0.000 0.644
W 0.000 0.500 0.144

=====

This record from Alexandria via LeMat-Bulk describes a relaxed RhW3 crystal. The functional is PBE.

## Properties
Electronic total energy, eV per atom: -11.443
DFT formation energy, eV per atom: 0.11

a b c (Å): 4.469 2.722 5.252
angles (deg): 80.45 90.00 90.00
Element x y z (fractional)
Rh 0.000 0.000 0.000
W 0.500 0.731 0.747
W 0.000 0.500 0.500
W 0.500 0.269 0.253